Computed, not measured: PmSm2Ag2 after structural relaxation at the GGA-PBE level of DFT.

Unit cell a=4.974 b=5.324 c=11.326 alpha=96.62 beta=90.00 gamma=90.00
Atoms (fractional coordinates):
Pm 0.250 0.700 0.244
Pm 0.750 0.300 0.756
Sm 0.250 0.839 0.887
Sm 0.750 0.161 0.113
Sm 0.250 0.252 0.509
Sm 0.750 0.748 0.491
Ag 0.250 0.784 0.634
Ag 0.750 0.216 0.366
Ag 0.250 0.362 0.995
Ag 0.750 0.638 0.005

E_form   -0.0742 eV/atom
ΔE to the lowest computed polymorph   12.4 kJ/mol of atoms
Symmetry   P2_1/m, No. 11

=====

Computed, not measured: PmSm3Ag3 after structural relaxation at the GGA-PBE level of DFT.

Unit cell a=7.463 b=7.463 c=7.096 alpha=90.56 beta=90.56 gamma=94.09
Atoms (fractional coordinates):
Pm 0.744 0.744 0.853
Pm 0.256 0.256 0.147
Sm 0.630 0.630 0.355
Sm 0.182 0.818 0.500
Sm 0.818 0.182 0.500
Sm 0.263 0.737 0.000
Sm 0.737 0.263 0.000
Sm 0.370 0.370 0.645
Ag 0.930 0.930 0.185
Ag 0.003 0.480 0.732
Ag 0.480 0.003 0.732
Ag 0.997 0.520 0.268
Ag 0.520 0.997 0.268
Ag 0.070 0.070 0.815

E_form   -0.1210 eV/atom
Symmetry   C2/m, No. 12

=====

- Among the records above, which one has the lowest E_form?
  PmSm3Ag3

=====

- The highest E_form belongs to which entry?
  PmSm2Ag2

=====

- What is the formula in the second record?
  PmSm3Ag3

=====

Please write out number 2 again, unchanged.
Computed, not measured: PmSm3Ag3 after structural relaxation at the GGA-PBE level of DFT.

Unit cell a=7.463 b=7.463 c=7.096 alpha=90.56 beta=90.56 gamma=94.09
Atoms (fractional coordinates):
Pm 0.744 0.744 0.853
Pm 0.256 0.256 0.147
Sm 0.630 0.630 0.355
Sm 0.182 0.818 0.500
Sm 0.818 0.182 0.500
Sm 0.263 0.737 0.000
Sm 0.737 0.263 0.000
Sm 0.370 0.370 0.645
Ag 0.930 0.930 0.185
Ag 0.003 0.480 0.732
Ag 0.480 0.003 0.732
Ag 0.997 0.520 0.268
Ag 0.520 0.997 0.268
Ag 0.070 0.070 0.815

E_form   -0.1210 eV/atom
Symmetry   C2/m, No. 12